Entry from Alexandria: a geometry-optimized ZnSi2Mo structure (PBE).

Values from the calculation:
formation energy (no corrections): 8 kJ/mol of atoms
symmetry: C2/m (12)
E_tot: -5.65 eV/atom

a b c (Å): 4.645 4.645 4.790
angles (deg): 95.47 95.47 34.57
Element x y z (fractional)
1 Zn 0.000 0.000 0.000
2 Si 0.239 0.239 0.730
3 Si 0.761 0.761 0.270
4 Mo 0.500 0.500 0.500